1.
4
Lattice="-1.050 2.287 2.600 -3.341 -1.340 -0.170 1.025 -2.937 2.998" Properties=species:S:1:pos:R:3 comment="BePPt2 PBE relaxed" sg=Pmm2 e_form_ev_per_atom=-0.47 pbc="T T T"
P -2.806 -1.868 3.028
Pt -1.932 -4.010 2.748
Pt -1.487 -0.193 2.087
Be -0.613 -2.335 1.807

***

2.
4
Lattice="-1.630 3.321 2.824 -1.912 -3.449 2.952 3.690 -0.573 2.804" Properties=species:S:1:pos:R:3 comment="KRhCl2 PBE relaxed" sg=Pm raw_formation_energy_mev_per_atom=-777 pbc="T T T"
K 0.652 -1.962 2.683
Rh 2.338 1.168 3.811
Cl 1.499 -3.605 5.105
Cl 0.238 1.113 2.664

***

3.
5
Lattice="4.320 0.000 0.000 0.000 4.320 0.000 0.000 0.000 4.320" Properties=species:S:1:pos:R:3 comment="NbPRu3 PBE relaxed" sg=Pm-3m e_form_ev_per_atom=0.24 pbc="T T T"
Ru 0.000 2.160 0.000
Ru 0.000 0.000 2.160
Ru 2.160 0.000 0.000
Nb 2.160 2.160 2.160
P 0.000 0.000 0.000